# 1
## ScGa3Ag (PBE)

Data for ScGa3Ag after structural relaxation.

Results
Fermi-level density of states = 4.2 states/eV per cell
E_form = 0.661 eV per atom
Space-group type = Pm-3m, No. 221
Polymorph energy (0 for the lowest one) = 0.8793 eV/atom
Density = 4.3 g/cm³
Energy = -2.992 eV per atom

The structure in CIF format:
```
data_ScGa3Ag
_chemical_formula_sum 'Sc1 Ga3 Ag1'
_cell_length_a 5.186
_cell_length_b 5.186
_cell_length_c 5.186
_cell_angle_alpha 90.00
_cell_angle_beta 90.00
_cell_angle_gamma 90.00
_symmetry_space_group_name_H-M 'P 1'
_symmetry_Int_Tables_number 1
_symmetry_space_group_name_Hall 'P 1'
loop_
_atom_site_label
_atom_site_fract_x
_atom_site_fract_y
_atom_site_fract_z
_atom_site_occupancy
Sc1 0.000 0.000 0.000 1
Ga1 0.000 0.000 0.500 1
Ga2 0.000 0.500 0.000 1
Ga3 0.500 0.000 0.000 1
Ag1 0.500 0.500 0.500 1
```

***

# 2
## CaCeGa6 (PBE)

Data for CaCeGa6 after structural relaxation.

Results
Fermi-level density of states = 6.1 states/eV per cell
E_form = -0.397 eV per atom
Space-group type = Cmmm, No. 65
Density = 6.1 g/cm³
Energy = -3.659 eV per atom

The structure in CIF format:
```
data_CaCeGa6
_chemical_formula_sum 'Ca1 Ce1 Ga6'
_cell_length_a 6.135
_cell_length_b 6.135
_cell_length_c 4.346
_cell_angle_alpha 90.00
_cell_angle_beta 90.00
_cell_angle_gamma 90.33
_symmetry_space_group_name_H-M 'P 1'
_symmetry_Int_Tables_number 1
_symmetry_space_group_name_Hall 'P 1'
loop_
_atom_site_label
_atom_site_fract_x
_atom_site_fract_y
_atom_site_fract_z
_atom_site_occupancy
Ca1 0.000 0.000 0.000 1
Ce1 0.500 0.500 0.000 1
Ga1 0.000 0.500 0.000 1
Ga2 0.250 0.250 0.500 1
Ga3 0.250 0.750 0.500 1
Ga4 0.500 0.000 0.000 1
Ga5 0.750 0.250 0.500 1
Ga6 0.750 0.750 0.500 1
```

***

# 3
## In2Ga3Bi (PBE)

Data for In2Ga3Bi after structural relaxation.

Results
Fermi-level density of states = 4.3 states/eV per cell
E_form = 0.042 eV per atom
Space-group type = C2/m, No. 12
Density = 7.4 g/cm³
Energy = -3.031 eV per atom

The structure in CIF format:
```
data_In2Ga3Bi
_chemical_formula_sum 'In4 Ga6 Bi2'
_cell_length_a 7.630
_cell_length_b 7.630
_cell_length_c 9.846
_cell_angle_alpha 119.65
_cell_angle_beta 119.65
_cell_angle_gamma 36.44
_symmetry_space_group_name_H-M 'P 1'
_symmetry_Int_Tables_number 1
_symmetry_space_group_name_Hall 'P 1'
loop_
_atom_site_label
_atom_site_fract_x
_atom_site_fract_y
_atom_site_fract_z
_atom_site_occupancy
In1 0.034 0.034 0.344 1
In2 0.299 0.299 0.646 1
In3 0.701 0.701 0.354 1
In4 0.966 0.966 0.656 1
Ga1 0.116 0.116 0.089 1
Ga2 0.222 0.222 0.902 1
Ga3 0.454 0.454 0.101 1
Ga4 0.546 0.546 0.899 1
Ga5 0.778 0.778 0.098 1
Ga6 0.884 0.884 0.911 1
Bi1 0.365 0.365 0.349 1
Bi2 0.635 0.635 0.651 1
```

***

# 4
## ZrCu2Ni (PBE)

Data for ZrCu2Ni after structural relaxation.

Results
Fermi-level density of states = 3.0 states/eV per cell
E_form = 0.208 eV per atom
Space-group type = R-3m, No. 166
Density = 7.9 g/cm³
Energy = -5.422 eV per atom

The structure in CIF format:
```
data_ZrCu2Ni
_chemical_formula_sum 'Zr1 Cu2 Ni1'
_cell_length_a 8.888
_cell_length_b 8.888
_cell_length_c 8.888
_cell_angle_alpha 17.92
_cell_angle_beta 17.92
_cell_angle_gamma 17.92
_symmetry_space_group_name_H-M 'P 1'
_symmetry_Int_Tables_number 1
_symmetry_space_group_name_Hall 'P 1'
loop_
_atom_site_label
_atom_site_fract_x
_atom_site_fract_y
_atom_site_fract_z
_atom_site_occupancy
Zr1 0.000 0.000 0.000 1
Cu1 0.241 0.241 0.241 1
Cu2 0.759 0.759 0.759 1
Ni1 0.500 0.500 0.500 1
```

***

# 5
## CaTi2Os (PBE)

Data for CaTi2Os after structural relaxation.

Results
Fermi-level density of states = 7.9 states/eV per cell
E_form = 0.780 eV per atom
Space-group type = I-42d, No. 122
Polymorph energy (0 for the lowest one) = 0.6312 eV/atom
Density = 5.5 g/cm³
Energy = -6.475 eV per atom

The structure in CIF format:
```
data_CaTi2Os
_chemical_formula_sum 'Ca2 Ti4 Os2'
_cell_length_a 9.393
_cell_length_b 9.393
_cell_length_c 9.393
_cell_angle_alpha 150.68
_cell_angle_beta 150.68
_cell_angle_gamma 41.94
_symmetry_space_group_name_H-M 'P 1'
_symmetry_Int_Tables_number 1
_symmetry_space_group_name_Hall 'P 1'
loop_
_atom_site_label
_atom_site_fract_x
_atom_site_fract_y
_atom_site_fract_z
_atom_site_occupancy
Ca1 0.000 0.000 0.000 1
Ca2 0.750 0.250 0.500 1
Ti1 0.345 0.125 0.720 1
Ti2 0.375 0.655 0.780 1
Ti3 0.405 0.625 0.280 1
Ti4 0.875 0.595 0.220 1
Os1 0.250 0.750 0.500 1
Os2 0.500 0.500 0.000 1
```

***

# 6
## Ac2Cu3Ru (PBE)

Data for Ac2Cu3Ru after structural relaxation.

Results
Fermi-level density of states = 4.0 states/eV per cell
E_form = -0.126 eV per atom
Space-group type = Pmm2, No. 25
Density = 9.0 g/cm³
Energy = -5.090 eV per atom

The structure in CIF format:
```
data_Ac2Cu3Ru
_chemical_formula_sum 'Ac2 Cu3 Ru1'
_cell_length_a 4.234
_cell_length_b 4.350
_cell_length_c 7.485
_cell_angle_alpha 90.00
_cell_angle_beta 90.00
_cell_angle_gamma 90.00
_symmetry_space_group_name_H-M 'P 1'
_symmetry_Int_Tables_number 1
_symmetry_space_group_name_Hall 'P 1'
loop_
_atom_site_label
_atom_site_fract_x
_atom_site_fract_y
_atom_site_fract_z
_atom_site_occupancy
Ac1 0.000 0.000 0.000 1
Ac2 0.000 0.500 0.468 1
Cu1 0.500 0.000 0.651 1
Cu2 0.500 0.500 0.147 1
Cu3 0.500 0.500 0.815 1
Ru1 0.500 0.000 0.315 1
```

***

# 7
## KCo2Ni (PBE)

Data for KCo2Ni after structural relaxation.

Results
Fermi-level density of states = 4.9 states/eV per cell
E_form = 0.603 eV per atom
Space-group type = P4mm, No. 99
Polymorph energy (0 for the lowest one) = 0.0000 eV/atom
Density = 5.4 g/cm³
Energy = -4.670 eV per atom

The structure in CIF format:
```
data_KCo2Ni
_chemical_formula_sum 'K1 Co2 Ni1'
_cell_length_a 2.924
_cell_length_b 2.924
_cell_length_c 7.805
_cell_angle_alpha 90.00
_cell_angle_beta 90.00
_cell_angle_gamma 90.00
_symmetry_space_group_name_H-M 'P 1'
_symmetry_Int_Tables_number 1
_symmetry_space_group_name_Hall 'P 1'
loop_
_atom_site_label
_atom_site_fract_x
_atom_site_fract_y
_atom_site_fract_z
_atom_site_occupancy
K1 0.000 0.000 0.000 1
Co1 0.000 0.000 0.506 1
Co2 0.500 0.500 0.653 1
Ni1 0.500 0.500 0.332 1
```

***

# 8
## PaReIr (PBE)

Data for PaReIr after structural relaxation.

Results
Fermi-level density of states = 11.8 states/eV per cell
E_form = 0.047 eV per atom
Space-group type = P-62m, No. 189
Density = 18.3 g/cm³
Energy = -10.221 eV per atom

The structure in CIF format:
```
data_PaReIr
_chemical_formula_sum 'Pa3 Re3 Ir3'
_cell_length_a 7.961
_cell_length_b 7.961
_cell_length_c 3.027
_cell_angle_alpha 90.00
_cell_angle_beta 90.00
_cell_angle_gamma 120.00
_symmetry_space_group_name_H-M 'P 1'
_symmetry_Int_Tables_number 1
_symmetry_space_group_name_Hall 'P 1'
loop_
_atom_site_label
_atom_site_fract_x
_atom_site_fract_y
_atom_site_fract_z
_atom_site_occupancy
Pa1 0.000 0.289 0.000 1
Pa2 0.289 0.000 0.000 1
Pa3 0.711 0.711 0.000 1
Re1 0.000 0.000 0.500 1
Re2 0.333 0.667 0.000 1
Re3 0.667 0.333 0.000 1
Ir1 0.000 0.606 0.500 1
Ir2 0.394 0.394 0.500 1
Ir3 0.606 0.000 0.500 1
```